# CdB3W

Crystalline CdB3W at its relaxed geometry (PBE, Alexandria).

Cell: 4.229 4.229 4.229 Å, 90.00 90.00 90.00°
Space group Pm-3m (No. 221)
Asymmetric unit:
Cd1 0.000 0.000 0.000 x1
B1 0.000 0.500 0.500 x3
W1 0.500 0.500 0.500 x1

Results
Relative energy among the computed polymorphs, eV/atom: 0.000
Raw total energy, eV per atom: -5.54
Calculated formation energy, eV/atom: 1.243
Crystal system: cubic
V, Å³ per cell: 76

=====

# CdB3W

Crystalline CdB3W at its relaxed geometry (PBE, Alexandria).

Cell: 4.139 4.139 4.139 Å, 90.00 90.00 90.00°
Space group Pm-3m (No. 221)
Asymmetric unit:
Cd1 0.000 0.000 0.000 x1
B1 0.000 0.000 0.500 x3
W1 0.500 0.500 0.500 x1

Results
Relative energy among the computed polymorphs, eV/atom: 1.616
Raw total energy, eV per atom: -3.92
Calculated formation energy, eV/atom: 2.859
Crystal system: cubic
V, Å³ per cell: 71

=====

# YCdB

Crystalline YCdB at its relaxed geometry (PBE, Alexandria).

Cell: 3.3252 3.3252 35.1697 Å, 90.00 90.00 120.00°
Space group R-3m (No. 166, hexagonal axes)
Asymmetric unit:
Y1 0.0000 0.0000 0.0530 x6
Cd1 0.0000 0.0000 0.2023 x6
B1 0.0000 0.0000 0.3331 x6

Results
Relative energy among the computed polymorphs, eV/atom: 0.051
Raw total energy, eV per atom: -5.03
Calculated formation energy, eV/atom: -0.345
Crystal system: trigonal
V, Å³ per cell: 337

=====

# YCdB

Crystalline YCdB at its relaxed geometry (PBE, Alexandria).

Cell: 3.824 4.950 7.017 Å, 99.90 90.27 112.43°
Space group P-1 (No. 2)
Asymmetric unit:
Y1 0.116 0.236 0.328 x2
Cd1 0.366 0.732 0.077 x2
B1 0.421 0.843 0.430 x2

Results
Relative energy among the computed polymorphs, eV/atom: 0.205
Raw total energy, eV per atom: -4.88
Calculated formation energy, eV/atom: -0.191
Crystal system: triclinic
V, Å³ per cell: 121